Record 1
Below is an optimized crystal structure of Ce2FeSi2Tc, with properties calculated at the PBE level.

Values from the calculation:
Calculated total energy, eV per atom: -7.511
E_form (uncorrected), eV per atom: -0.587

Cell: 5.926 13.159 5.928 Å, 90.00 90.00 90.00°
Space group Ibam (No. 72)
One atom of each set of equivalent atoms:
Ce (0.248, 0.156, 0.000) (multiplicity 8)
Fe (0.000, 0.000, 0.250) (multiplicity 4)
Si (0.235, 0.092, 0.500) (multiplicity 8)
Tc (0.000, 0.500, 0.250) (multiplicity 4)

=====

Record 2
Below is an optimized crystal structure of CeSm3Fe, with properties calculated at the PBE level.

Values from the calculation:
Calculated total energy, eV per atom: -5.460

Cell: 5.359 5.359 5.359 Å, 90.00 90.00 90.00°
Space group Pm-3m (No. 221)
One atom of each set of equivalent atoms:
Ce (0.000, 0.000, 0.000) (multiplicity 1)
Sm (0.000, 0.500, 0.500) (multiplicity 3)
Fe (0.500, 0.500, 0.500) (multiplicity 1)

=====

Record 3
Below is an optimized crystal structure of Ce2SmFe, with properties calculated at the PBE level.

Values from the calculation:
Polymorph energy (0 for the lowest one), kJ per mole of atoms: 2.53
Calculated total energy, eV per atom: -6.142

Cell: 3.418 3.418 8.646 Å, 90.00 90.00 90.00°
Space group P4/mmm (No. 123)
One atom of each set of equivalent atoms:
Ce (0.000, 0.000, 0.186) (multiplicity 2)
Sm (0.500, 0.500, 0.500) (multiplicity 1)
Fe (0.500, 0.500, 0.000) (multiplicity 1)

=====

Record 4
Below is an optimized crystal structure of Ce2SmFe, with properties calculated at the PBE level.

Values from the calculation:
Polymorph energy (0 for the lowest one), kJ per mole of atoms: 0.00
Calculated total energy, eV per atom: -6.168

Cell: 3.7069 3.7069 26.7400 Å, 90.00 90.00 120.00°
Space group R-3m (No. 166, hexagonal axes)
One atom of each set of equivalent atoms:
Ce (0.0000, 0.0000, 0.2237) (multiplicity 6)
Sm (0.0000, 0.0000, 0.0000) (multiplicity 3)
Fe (0.0000, 0.0000, 0.5000) (multiplicity 3)

=====

Record 5
Below is an optimized crystal structure of Ce2SmFe9, with properties calculated at the PBE level.

Values from the calculation:
Calculated total energy, eV per atom: -7.709

Cell: 4.9662 4.9662 25.1016 Å, 90.00 90.00 120.00°
Space group R-3m (No. 166, hexagonal axes)
One atom of each set of equivalent atoms:
Ce (0.0000, 0.0000, 0.1419) (multiplicity 6)
Sm (0.0000, 0.0000, 0.0000) (multiplicity 3)
Fe (0.0000, 0.0000, 0.3324) (multiplicity 6)
Fe (0.0000, 0.0000, 0.5000) (multiplicity 3)
Fe (0.0029, 0.5015, 0.0807) (multiplicity 18)

=====

Record 6
Below is an optimized crystal structure of Ce2SmFe, with properties calculated at the PBE level.

Values from the calculation:
Polymorph energy (0 for the lowest one), kJ per mole of atoms: 0.10
Calculated total energy, eV per atom: -6.167

Cell: 3.7621 3.7621 26.1172 Å, 90.00 90.00 120.00°
Space group R3m (No. 160, hexagonal axes)
One atom of each set of equivalent atoms:
Ce (0.0000, 0.0000, 0.0000) (multiplicity 3)
Ce (0.0000, 0.0000, 0.2192) (multiplicity 3)
Sm (0.0000, 0.0000, 0.4434) (multiplicity 3)
Fe (0.0000, 0.0000, 0.6065) (multiplicity 3)

=====

Record 7
Below is an optimized crystal structure of CeSm2Fe, with properties calculated at the PBE level.

Values from the calculation:
Polymorph energy (0 for the lowest one), kJ per mole of atoms: 0.00
Calculated total energy, eV per atom: -6.040

Cell: 6.830 9.730 6.457 Å, 90.00 90.00 90.00°
Space group Pnma (No. 62)
One atom of each set of equivalent atoms:
Ce (0.074, 0.250, 0.140) (multiplicity 4)
Sm (0.163, 0.065, 0.674) (multiplicity 8)
Fe (0.146, 0.750, 0.498) (multiplicity 4)

=====

Record 8
Below is an optimized crystal structure of CeSm2Fe, with properties calculated at the PBE level.

Values from the calculation:
Polymorph energy (0 for the lowest one), kJ per mole of atoms: 67.77
Calculated total energy, eV per atom: -5.338

Cell: 3.3270 3.3270 33.5756 Å, 90.00 90.00 120.00°
Space group R-3m (No. 166, hexagonal axes)
One atom of each set of equivalent atoms:
Ce (0.0000, 0.0000, 0.0000) (multiplicity 3)
Sm (0.0000, 0.0000, 0.4206) (multiplicity 6)
Fe (0.0000, 0.0000, 0.5000) (multiplicity 3)